! GGA-PBEsol Cr2Ir2S, relaxed; values from VASP
&SYSTEM
  ibrav = 0, nat = 5, ntyp = 3
/
ATOMIC_SPECIES
S 32.06 S.upf
Cr 52.00 Cr.upf
Ir 192.22 Ir.upf
CELL_PARAMETERS angstrom
3.205 0.000 0.000
0.000 3.205 0.000
-1.603 -1.603 6.605
ATOMIC_POSITIONS angstrom
S 0.000 0.000 0.000
Cr 0.000 1.603 3.303
Ir 1.603 1.603 1.346
Ir 0.000 0.000 5.259
Cr 1.603 0.000 3.303
! Spin magnetization   0.00 μB/atom
! Electronic total energy   -8.54 eV/atom
! DOS at the Fermi energy   0.937 states/eV/atom